No. 1
Entry from Alexandria: a geometry-optimized Ta2AsSe structure (PBE).

Computed properties:
Formation energy (no corrections), meV per atom: -252
Energy above the lowest structure with this stoichiometry, meV per atom: 147

a b c (Å): 2.995 2.995 9.903
angles (deg): 90.00 90.00 107.99
Positions (direct):
Ta 0.000 0.000 0.000
Ta 0.500 0.500 0.228
As 0.000 0.000 0.425
Se 0.500 0.500 0.808


No. 2
Entry from Alexandria: a geometry-optimized Ac2Dy3Mg2 structure (PBE).

Computed properties:
Energy of formation from the pure elements, eV per atom: 0.042

a b c (Å): 16.950 16.950 3.722
angles (deg): 90.00 90.00 167.29
Positions (direct):
Ac 0.199 0.801 0.000
Ac 0.801 0.199 0.000
Dy 0.068 0.932 0.000
Dy 0.500 0.500 0.500
Dy 0.932 0.068 0.000
Mg 0.372 0.628 0.500
Mg 0.628 0.372 0.500


In eV/atom, the E_tot values for the records above are, in order, -8.211, -3.559.